U2AsN2: single point on PBEsol structure, meta-GGA SCAN.

As for the uncorrected formation energy: -131.54 kJ per mole of atoms. Its total energy is -50.5288 eV/atom. As for the symmetry: P-3m1. The total magnetization comes out at 3.01 Bohr magnetons per cell.

Cell: 3.772 3.772 6.633 Å, 90.00 90.00 120.00°
Fractional coordinates of all 5 atoms:
As  0.000  0.000  0.000
U  0.333  0.667  0.288
U  0.667  0.333  0.712
N  0.667  0.333  0.375
N  0.333  0.667  0.625

---

AsW2N: single point on PBEsol structure, meta-GGA SCAN.

As for the uncorrected formation energy: 89.15 kJ per mole of atoms. Its total energy is -41.2905 eV/atom. As for the symmetry: Fm-3m. The total magnetization comes out at 0.00 Bohr magnetons per cell.

Cell: 4.161 4.161 4.161 Å, 60.00 60.00 60.00°
Fractional coordinates of all 4 atoms:
As  0.500  0.500  0.500
W  0.250  0.250  0.250
W  0.750  0.750  0.750
N  0.000  0.000  0.000